# MgPaAlO6, optimized geometry, DFT PBE
data_MgPaAlO6
_space_group_name_H-M_alt 'P 1'
_space_group_IT_number 1
_space_group_name_Hall 'P 1'
_cell_length_a 4.7469
_cell_length_b 4.7469
_cell_length_c 9.5344
_cell_angle_alpha 90.00
_cell_angle_beta 90.00
_cell_angle_gamma 90.00
loop_
_atom_site_label
_atom_site_type_symbol
_atom_site_fract_x
_atom_site_fract_y
_atom_site_fract_z
_atom_site_occupancy
Al1 Al 0.0000 0.0000 0.3318 1
O1 O 0.7150 0.7150 0.3406 1
O2 O 0.3134 0.3134 0.6781 1
O3 O 0.8075 0.1925 0.4806 1
O4 O 0.6866 0.6866 0.6781 1
Al2 Al 0.5000 0.5000 0.8318 1
O5 O 0.7850 0.2150 0.8406 1
O6 O 0.3075 0.3075 0.9806 1
Mg1 Mg 0.5000 0.5000 0.5021 1
Mg2 Mg 0.0000 0.0000 0.0021 1
O7 O 0.1925 0.8075 0.4806 1
O8 O 0.2850 0.2850 0.3406 1
O9 O 0.8134 0.1866 0.1781 1
Pa1 Pa 0.0000 0.0000 0.6675 1
O10 O 0.2150 0.7850 0.8406 1
O11 O 0.6925 0.6925 0.9806 1
Pa2 Pa 0.5000 0.5000 0.1675 1
O12 O 0.1866 0.8134 0.1781 1
# DFT total energy = -7.53 eV per atom